SiSbPCl2: relaxed, PBE-GGA.

a = 4.6145 Å, b = 4.6145 Å, c = 5.0320 Å
α = 90.00°, β = 90.00°, γ = 90.00°
Closest atoms and distances in Å follow each position.
Sites, in units of the cell vectors:
Cl 0.0000 0.5000 0.0000  2 Si 2.31
Si 0.0000 0.0000 0.0000  4 Cl 2.31, 2 P 2.52
Sb 0.5000 0.5000 0.5000  4 P 3.26, 8 Cl 3.41
P 0.0000 0.0000 0.5000  2 Si 2.52
Cl 0.5000 0.0000 0.0000  2 Si 2.31

Calculated values
Space-group type: P4/mmm, No. 123
Relative energy among the computed polymorphs (meV/atom): 0.0
DFT total energy (eV per cell): -17.82
Energy relative to the elements, uncorrected (eV/atom): 0.17

---

Na2DyHo3Se6: relaxed, PBE-GGA.

a = 7.0783 Å, b = 7.0783 Å, c = 7.1595 Å
α = 99.47°, β = 99.47°, γ = 119.94°
Closest atoms and distances in Å follow each position.
Sites, in units of the cell vectors:
Se 0.4142 0.0848 0.2544  3 Ho 2.87-2.89, 1 Dy 2.90, 2 Na 2.93-2.94
Se 0.5858 0.9152 0.7456  3 Ho 2.87-2.89, 1 Dy 2.90, 2 Na 2.93-2.94
Ho 0.8310 0.1690 0.5000  6 Se 2.87-2.89
Se 0.0848 0.4142 0.2544  3 Ho 2.87-2.89, 1 Dy 2.90, 2 Na 2.93-2.94
Na 0.6659 0.3341 0.0000  6 Se 2.93-2.94
Ho 0.5000 0.5000 0.5000  6 Se 2.87-2.90
Se 0.7574 0.7574 0.2582  3 Ho 2.88-2.90, 1 Dy 2.91, 2 Na 2.94
Na 0.3341 0.6659 0.0000  6 Se 2.93-2.94
Dy 0.0000 0.0000 0.0000  6 Se 2.90-2.91
Se 0.9152 0.5858 0.7456  3 Ho 2.87-2.89, 1 Dy 2.90, 2 Na 2.93-2.94
Se 0.2426 0.2426 0.7418  3 Ho 2.88-2.90, 1 Dy 2.91, 2 Na 2.94
Ho 0.1690 0.8310 0.5000  6 Se 2.87-2.89

Calculated values
Space-group type: C2/m, No. 12
DFT total energy (eV per cell): -62.41
Energy relative to the elements, uncorrected (eV/atom): -1.71

---

TcHgRh2: relaxed, PBE-GGA.

a = 2.7947 Å, b = 3.9777 Å, c = 5.7233 Å
α = 90.00°, β = 90.00°, γ = 90.00°
Closest atoms and distances in Å follow each position.
Sites, in units of the cell vectors:
Rh 0.5000 0.5000 0.2670  4 Tc 2.67, 6 Rh 2.79-2.82, 2 Hg 2.81-2.91
Tc 0.0000 0.0000 0.4596  5 Rh 2.54-2.67, 2 Tc 2.79
Hg 0.5000 0.5000 0.7578  2 Hg 2.79, 6 Rh 2.81-2.91, 4 Tc 2.97
Rh 0.0000 0.0000 0.0156  1 Tc 2.54, 6 Rh 2.79-2.82, 4 Hg 2.84

Calculated values
Space-group type: Pmm2, No. 25
Energy of formation (eV/f.u.): 1.0
DFT total energy (eV per cell): -24.38

---

La3TlRh: relaxed, PBE-GGA.

a = 4.0870 Å, b = 8.6187 Å, c = 9.5186 Å
α = 75.81°, β = 77.60°, γ = 76.28°
Closest atoms and distances in Å follow each position.
Sites, in units of the cell vectors:
Rh 0.7695 0.3796 0.0813  4 La 2.81-2.89, 2 Rh 3.05
La 0.8331 0.0354 0.2985  1 Rh 3.16, 2 Tl 3.35
La 0.1669 0.9646 0.7015  1 Rh 3.16, 2 Tl 3.35
Tl 0.5740 0.2788 0.5732  8 La 3.35-3.58, 1 Tl 3.68
Rh 0.2305 0.6204 0.9187  4 La 2.81-2.89, 2 Rh 3.05
La 0.8635 0.5531 0.7199  2 Rh 2.89
La 0.1365 0.4469 0.2801  2 Rh 2.89
La 0.4108 0.2216 0.9568  2 Rh 2.81
Tl 0.4260 0.7212 0.4268  8 La 3.35-3.58, 1 Tl 3.68
La 0.5892 0.7784 0.0432  2 Rh 2.81

Calculated values
Space-group type: C2/m, No. 12
Energy of formation (eV/f.u.): -2.4
Relative energy among the computed polymorphs (meV/atom): 14.3
DFT total energy (eV per cell): -53.79

---

Nd5Pu2Ge4: relaxed, PBE-GGA.

a = 3.5651 Å, b = 7.0592 Å, c = 13.0674 Å
α = 91.13°, β = 97.84°, γ = 90.00°
Closest atoms and distances in Å follow each position.
Sites, in units of the cell vectors:
Ge 0.6727 0.5113 0.3455  5 Nd 2.99-3.03, 2 Pu 3.06
Pu 0.9075 0.6878 0.8150  4 Ge 3.01-3.06
Nd 0.2294 0.2466 0.4588  3 Ge 2.99-3.03
Ge 0.0248 0.6545 0.0495  1 Ge 2.51
Nd 0.7706 0.7534 0.5412  3 Ge 2.99-3.03
Pu 0.0925 0.3122 0.1850  4 Ge 3.01-3.06
Ge 0.9752 0.3455 0.9505  1 Ge 2.51
Nd 0.8672 0.1838 0.7344  3 Ge 2.99-3.00
Ge 0.3273 0.4887 0.6545  5 Nd 2.99-3.03, 2 Pu 3.06
Nd 0.5000 0.0000 0.0000  4 Ge 3.10
Nd 0.1328 0.8162 0.2656  3 Ge 2.99-3.00

Calculated values
Space-group type: C2/m, No. 12
Energy of formation (eV/f.u.): -2.4
DFT total energy (eV per cell): -73.37

---

What did the fourth record say?
La3TlRh: relaxed, PBE-GGA.

a = 4.0870 Å, b = 8.6187 Å, c = 9.5186 Å
α = 75.81°, β = 77.60°, γ = 76.28°
Closest atoms and distances in Å follow each position.
Sites, in units of the cell vectors:
Rh 0.7695 0.3796 0.0813  4 La 2.81-2.89, 2 Rh 3.05
La 0.8331 0.0354 0.2985  1 Rh 3.16, 2 Tl 3.35
La 0.1669 0.9646 0.7015  1 Rh 3.16, 2 Tl 3.35
Tl 0.5740 0.2788 0.5732  8 La 3.35-3.58, 1 Tl 3.68
Rh 0.2305 0.6204 0.9187  4 La 2.81-2.89, 2 Rh 3.05
La 0.8635 0.5531 0.7199  2 Rh 2.89
La 0.1365 0.4469 0.2801  2 Rh 2.89
La 0.4108 0.2216 0.9568  2 Rh 2.81
Tl 0.4260 0.7212 0.4268  8 La 3.35-3.58, 1 Tl 3.68
La 0.5892 0.7784 0.0432  2 Rh 2.81

Calculated values
Space-group type: C2/m, No. 12
Energy of formation (eV/f.u.): -2.4
Relative energy among the computed polymorphs (meV/atom): 14.3
DFT total energy (eV per cell): -53.79

---

What is the DFT total energy in the first record?
-17.82 eV per cell